(1)
Compound: Ba2LaAs
Source: Alexandria
Functional: GGA-PBE
Structure: optimized geometry

- calculated formation energy (kJ/mol of atoms) = -50.57
- SG = Cm, No. 8

abc: 5.544 5.544 8.870
angles: 73.87 73.87 45.04
Fractional positions:
Ba 0.742 0.742 0.682
Ba 0.905 0.905 0.067
As 0.282 0.282 0.375
La 0.570 0.570 0.375

=====

(2)
Compound: KRbBa2Ag
Source: Alexandria
Functional: GGA-PBE
Structure: optimized geometry

- calculated formation energy (kJ/mol of atoms) = 1.02
- SG = P4/mmm, No. 123
- energy above the lowest structure with this stoichiometry (meV/atom) = 0

abc: 6.627 6.627 7.041
angles: 90.00 90.00 90.00
Fractional positions:
Ba 0.500 0.000 0.000
Ba 0.000 0.500 0.000
Ag 0.000 0.000 0.000
Rb 0.500 0.500 0.500
K 0.000 0.000 0.500

=====

(3)
Compound: CsNa3Ge
Source: Alexandria
Functional: GGA-PBE
Structure: optimized geometry

- calculated formation energy (kJ/mol of atoms) = 90.48
- SG = Pm-3m, No. 221
- energy above the lowest structure with this stoichiometry (meV/atom) = 948

abc: 6.155 6.155 6.155
angles: 90.00 90.00 90.00
Fractional positions:
Cs 0.000 0.000 0.000
Ge 0.500 0.500 0.500
Na 0.500 0.000 0.000
Na 0.000 0.500 0.000
Na 0.000 0.000 0.500

=====

(4)
Compound: TmHfNiAg
Source: Alexandria
Functional: GGA-PBE
Structure: optimized geometry

- calculated formation energy (kJ/mol of atoms) = -16.85
- SG = F-43m, No. 216

abc: 4.784 4.784 4.784
angles: 60.00 60.00 60.00
Fractional positions:
Ni 0.750 0.750 0.750
Tm 0.000 0.000 0.000
Ag 0.250 0.250 0.250
Hf 0.500 0.500 0.500

=====

(5)
Compound: Pm3Mg2Hg2
Source: Alexandria
Functional: GGA-PBE
Structure: optimized geometry

- calculated formation energy (kJ/mol of atoms) = -24.61
- SG = P-1, No. 2

abc: 6.182 6.176 8.427
angles: 102.15 106.74 131.36
Fractional positions:
Pm 0.306 0.077 0.691
Pm 0.694 0.923 0.309
Pm 0.000 0.000 0.000
Mg 0.881 0.490 0.186
Mg 0.119 0.510 0.814
Hg 0.451 0.697 0.574
Hg 0.549 0.303 0.426

=====

(6)
Compound: MgNiP3
Source: Alexandria
Functional: GGA-PBE
Structure: optimized geometry

- calculated formation energy (kJ/mol of atoms) = 38.48
- SG = Pm-3m, No. 221
- energy above the lowest structure with this stoichiometry (meV/atom) = 0

abc: 4.466 4.466 4.466
angles: 90.00 90.00 90.00
Fractional positions:
P 0.500 0.000 0.000
P 0.000 0.500 0.000
P 0.000 0.000 0.500
Mg 0.500 0.500 0.500
Ni 0.000 0.000 0.000

=====

(7)
Compound: TiB2Os
Source: Alexandria
Functional: GGA-PBE
Structure: optimized geometry

- calculated formation energy (kJ/mol of atoms) = 44.77
- SG = I-42d, No. 122
- energy above the lowest structure with this stoichiometry (meV/atom) = 550

abc: 4.554 4.554 6.346
angles: 68.97 68.97 90.00
Fractional positions:
B 0.375 0.319 0.750
B 0.069 0.625 0.250
B 0.681 0.125 0.250
B 0.875 0.931 0.750
Os 0.750 0.250 0.500
Os 0.000 0.000 0.000
Ti 0.250 0.750 0.500
Ti 0.500 0.500 0.000

=====

(8)
Compound: SrZnCu2
Source: Alexandria
Functional: GGA-PBE
Structure: optimized geometry

- calculated formation energy (kJ/mol of atoms) = -13.51
- SG = Cm, No. 8

abc: 4.273 4.273 5.924
angles: 68.97 68.97 60.04
Fractional positions:
Sr 0.498 0.498 0.507
Zn 0.306 0.306 0.082
Cu 0.006 0.006 0.982
Cu 0.690 0.690 0.929

=====

(9)
Compound: LiAc4Tl2
Source: Alexandria
Functional: GGA-PBE
Structure: optimized geometry

- calculated formation energy (kJ/mol of atoms) = -7.92
- SG = C2/m, No. 12
- energy above the lowest structure with this stoichiometry (meV/atom) = 59

abc: 3.951 9.354 8.799
angles: 121.50 102.98 90.00
Fractional positions:
Li 0.000 0.000 0.000
Ac 0.374 0.617 0.748
Ac 0.626 0.383 0.252
Ac 0.890 0.253 0.779
Ac 0.110 0.747 0.221
Tl 0.201 0.172 0.402
Tl 0.799 0.828 0.598

=====

(10)
Compound: Li2TaRu
Source: Alexandria
Functional: GGA-PBE
Structure: optimized geometry

- calculated formation energy (kJ/mol of atoms) = 12.45
- SG = Cmm2, No. 35
- energy above the lowest structure with this stoichiometry (meV/atom) = 40

abc: 2.810 2.810 9.335
angles: 90.00 90.00 114.07
Fractional positions:
Li 0.500 0.500 0.275
Li 0.000 0.000 0.995
Ta 0.500 0.500 0.726
Ru 0.000 0.000 0.503

=====

(11)
Compound: Ac2Ga4SnPd3
Source: Alexandria
Functional: GGA-PBE
Structure: optimized geometry

- calculated formation energy (kJ/mol of atoms) = -70.94
- SG = P-4m2, No. 115

abc: 4.467 4.467 10.919
angles: 90.00 90.00 90.00
Fractional positions:
Ga 0.000 0.000 0.000
Ga 0.000 0.500 0.353
Ga 0.500 0.000 0.647
Ga 0.500 0.500 0.000
Ac 0.000 0.500 0.762
Ac 0.500 0.000 0.238
Pd 0.000 0.500 0.122
Pd 0.000 0.000 0.500
Pd 0.500 0.000 0.878
Sn 0.500 0.500 0.500

=====

(12)
Compound: Ce2YSc
Source: Alexandria
Functional: GGA-PBE
Structure: optimized geometry

- calculated formation energy (kJ/mol of atoms) = 11.00
- SG = P4/mmm, No. 123
- energy above the lowest structure with this stoichiometry (meV/atom) = 17

abc: 3.396 3.396 9.948
angles: 90.00 90.00 90.00
Fractional positions:
Ce 0.000 0.000 0.239
Ce 0.000 0.000 0.761
Y 0.500 0.500 0.500
Sc 0.500 0.500 0.000

=====

(13)
Compound: MgSi2Ir
Source: Alexandria
Functional: GGA-PBE
Structure: optimized geometry

- energy relative to the elements, uncorrected (eV per formula unit) = -0.27
- SG = I-4m2, No. 119

abc: 4.776 4.776 4.776
angles: 132.51 132.51 69.42
Fractional positions:
Si 0.250 0.750 0.500
Si 0.000 0.000 0.000
Ir 0.500 0.500 0.000
Mg 0.750 0.250 0.500

=====

For each record above, in turn, the calculated total magnetization values are 0.00, 0.00, 0.00, 0.00, 0.00, 0.00, 0.00, 0.00, 0.00, 0.00, 0.00, 0.35, 0.00 μB per atom.
For each record above, in turn, the calculated density values are 4.41, 2.72, 1.96, 11.02, 7.65, 3.28, 7.60, 5.45, 8.22, 7.30, 8.93, 5.99, 7.80 g cm⁻³.